Li5Ti6FeO16 | PBE+U | relaxed

a = 8.4399 Å, b = 8.4413 Å, c = 8.4425 Å
α = 90.00°, β = 90.00°, γ = 90.00°
Closest atoms and distances in Å follow each position.
Element x y z (fractional)
Li1 0.4957 0.7512 0.4961  4 O 2.03-2.04
Li2 0.6254 0.8770 0.8757  6 O 2.11-2.18
Li3 0.2490 0.9971 0.7459  4 O 1.99-2.02
Li4 0.7490 0.0029 0.2541  4 O 1.99-2.02
Li5 0.1254 0.1230 0.1243  6 O 2.11-2.18
Li6 0.9957 0.2488 0.5039  4 O 2.03-2.04
Li7 0.3761 0.3760 0.6275  6 O 2.13-2.17
Li8 0.7525 0.4986 0.7505  4 O 1.99-2.02
Li9 0.2525 0.5014 0.2495  4 O 1.99-2.02
Li10 0.8761 0.6240 0.3725  6 O 2.13-2.17
Ti1 0.8649 0.8630 0.6172  3 O 1.86-1.92
Ti2 0.1192 0.8810 0.3795  6 O 1.91-2.04
Ti3 0.3801 0.8756 0.1232  6 O 1.93-2.08
Ti4 0.8801 0.1244 0.8768  6 O 1.93-2.08
Ti5 0.6192 0.1190 0.6205  6 O 1.91-2.04
Ti6 0.3649 0.1370 0.3828  3 O 1.86-1.92
Ti7 0.1264 0.3653 0.8727  5 O 1.87-2.01
Ti8 0.8880 0.3635 0.1359  3 O 1.85-1.91
Ti9 0.6253 0.3835 0.3906  4 O 1.83-1.98
Ti10 0.1253 0.6165 0.6094  4 O 1.83-1.98
Ti11 0.3880 0.6365 0.8641  3 O 1.85-1.91
Ti12 0.6264 0.6347 0.1273  5 O 1.87-2.01
Fe1 0.5017 0.2527 0.0005  4 O 1.91-1.92
Fe2 0.0017 0.7473 0.9995  4 O 1.91-1.92
O1 0.6094 0.8561 0.1265  2 Ti 1.87-1.94, 1 Li 2.02
O2 0.3721 0.8601 0.8959  2 Ti 1.91-1.93, 1 Li 2.01
O3 0.1127 0.8630 0.6083  3 Ti 1.94-2.09, 1 Li 1.99
O4 0.8931 0.8764 0.3923  2 Ti 1.91-1.92, 1 Li 2.00
O5 0.1342 0.8678 0.1390  1 Fe 1.92, 2 Ti 2.04-2.08
O6 0.3588 0.8913 0.3556  3 Ti 1.97-2.09, 1 Li 2.03
O7 0.6432 0.8899 0.6263  2 Ti 1.89-1.95, 1 Li 2.03
O8 0.8827 0.8890 0.8674  1 Fe 1.92, 2 Ti 1.99-2.13
O9 0.3827 0.1110 0.1326  1 Fe 1.92, 2 Ti 1.99-2.13
O10 0.1432 0.1101 0.3737  2 Ti 1.89-1.95, 1 Li 2.03
O11 0.8588 0.1087 0.6444  3 Ti 1.97-2.09, 1 Li 2.03
O12 0.6342 0.1322 0.8610  1 Fe 1.92, 2 Ti 2.04-2.08
O13 0.3931 0.1236 0.6077  2 Ti 1.91-1.92, 1 Li 2.00
O14 0.6127 0.1370 0.3917  3 Ti 1.94-2.09, 1 Li 1.99
O15 0.8721 0.1399 0.1041  2 Ti 1.91-1.93, 1 Li 2.01
O16 0.1094 0.1439 0.8735  2 Ti 1.87-1.94, 1 Li 2.02
O17 0.3927 0.3556 0.3716  2 Ti 1.86-1.98, 1 Li 1.99
O18 0.6270 0.3587 0.6065  2 Ti 1.83-2.03, 1 Li 2.00
O19 0.8906 0.3588 0.8861  3 Ti 1.98-2.11, 1 Li 2.01
O20 0.1049 0.3762 0.1095  2 Ti 1.85-2.01, 1 Li 2.02
O21 0.8562 0.3738 0.3535  2 Ti 1.86-1.97, 1 Li 2.03
O22 0.6338 0.3839 0.1292  1 Fe 1.91, 1 Ti 2.12
O23 0.3595 0.3868 0.8838  1 Fe 1.92, 2 Ti 1.98-2.13
O24 0.1249 0.3954 0.6460  2 Ti 1.89-1.93, 1 Li 2.04
O25 0.6249 0.6046 0.3540  2 Ti 1.89-1.93, 1 Li 2.04
O26 0.8595 0.6132 0.1162  1 Fe 1.92, 2 Ti 1.98-2.13
O27 0.1338 0.6161 0.8708  1 Fe 1.91, 1 Ti 2.12
O28 0.3562 0.6262 0.6465  2 Ti 1.86-1.97, 1 Li 2.03
O29 0.6049 0.6238 0.8905  2 Ti 1.85-2.01, 1 Li 2.02
O30 0.3906 0.6412 0.1139  3 Ti 1.98-2.11, 1 Li 2.01
O31 0.1270 0.6413 0.3935  2 Ti 1.83-2.03, 1 Li 2.00
O32 0.8927 0.6444 0.6284  2 Ti 1.86-1.98, 1 Li 1.99

## Properties
**Energy relative to the lowest polymorph listed for this composition**: 0.000 eV per atom
**Space group**: P2_1 (4)
**Density of states at the Fermi level**: 0.000 states/eV/atom